(1)
A plane-wave DFT calculation with GGA-PBEsol was carried out for crystalline CaBO3 at its relaxed geometry.

```
CaBO3
1.0
3.643 0.000 0.000
0.000 5.375 0.000
-1.014 0.000 6.384
Ca B O
2 2 6
direct
0.203 0.250 0.319
0.797 0.750 0.681
0.258 0.250 0.775
0.742 0.750 0.225
0.118 0.250 0.958
0.304 0.028 0.679
0.304 0.472 0.679
0.696 0.528 0.321
0.696 0.972 0.321
0.882 0.750 0.042
```

Summary:
Formation energy without anion corrections: -2.379 eV/atom
VASP energy: -73.6 eV/cell
Crystal system: monoclinic


(2)
A plane-wave DFT calculation with GGA-PBEsol was carried out for crystalline BaPF2 at its relaxed geometry.

```
BaPF2
1.0
2.309 1.333 4.611
-2.309 1.333 4.611
0.000 -2.666 4.611
Ba P F
1 1 2
direct
0.000 0.000 0.000
0.500 0.500 0.500
0.358 0.358 0.358
0.642 0.642 0.642
```

Summary:
Formation energy without anion corrections: -2.061 eV/atom
VASP energy: -20.0 eV/cell
Crystal system: trigonal


(3)
A plane-wave DFT calculation with GGA-PBEsol was carried out for crystalline Mn2CdSi at its relaxed geometry.

```
Mn2CdSi
1.0
0.000 2.974 2.974
2.974 0.000 2.974
2.974 2.974 0.000
Mn Cd Si
2 1 1
direct
0.250 0.250 0.250
0.750 0.750 0.750
0.000 0.000 0.000
0.500 0.500 0.500
```

Summary:
Formation energy without anion corrections: 0.266 eV/atom
VASP energy: -25.4 eV/cell
Crystal system: cubic


(4)
A plane-wave DFT calculation with GGA-PBEsol was carried out for crystalline Ni2AsRh at its relaxed geometry.

```
Ni2AsRh
1.0
3.026 0.000 0.000
0.000 3.026 0.000
0.000 0.000 5.379
Ni As Rh
2 1 1
direct
0.000 0.000 0.236
0.000 0.000 0.764
0.500 0.500 0.000
0.500 0.500 0.500
```

Summary:
Formation energy from the elements: -1.86 kJ per mole of atoms
VASP energy: -25.6 eV/cell
Crystal system: tetragonal


(5)
A plane-wave DFT calculation with GGA-PBEsol was carried out for crystalline RbYRe2As at its relaxed geometry.

```
RbYRe2As
1.0
4.626 0.000 0.000
0.000 4.626 0.000
0.000 0.000 5.461
Rb Y Re As
1 1 2 1
direct
0.000 0.000 0.000
0.500 0.500 0.000
0.000 0.500 0.500
0.500 0.000 0.500
0.000 0.000 0.500
```

Summary:
Formation energy from the elements: 126.09 kJ per mole of atoms
VASP energy: -33.1 eV/cell
Crystal system: tetragonal


(6)
A plane-wave DFT calculation with GGA-PBEsol was carried out for crystalline Be2Rh at its relaxed geometry.

```
Be2Rh
1.0
3.571 0.000 0.000
-1.786 3.093 0.000
0.000 0.000 2.623
Be Rh
2 1
direct
0.333 0.667 0.000
0.667 0.333 0.000
0.000 0.000 0.500
```

Summary:
Formation energy from the elements: -49.03 kJ per mole of atoms
VASP energy: -17.7 eV/cell
Crystal system: hexagonal


(7)
A plane-wave DFT calculation with GGA-PBEsol was carried out for crystalline LiCuNi2 at its relaxed geometry.

```
LiCuNi2
1.0
-1.270 2.042 4.122
1.270 -2.042 4.122
1.270 2.042 -4.122
Li Cu Ni
1 1 2
direct
0.000 0.000 0.000
0.500 0.500 0.000
0.252 0.752 0.500
0.748 0.248 0.500
```

Summary:
Formation energy from the elements: 2.52 kJ per mole of atoms
VASP energy: -18.5 eV/cell
Crystal system: orthorhombic


(8)
A plane-wave DFT calculation with GGA-PBEsol was carried out for crystalline Li4Ti3Co2Sn3O16 at its relaxed geometry.

```
Li4Ti3Co2Sn3O16
1.0
6.046 0.000 0.000
3.013 5.268 0.000
0.095 0.027 9.634
Li Ti Co Sn O
4 3 2 3 16
direct
0.000 0.000 0.000
0.011 0.963 0.492
0.313 0.289 0.103
0.651 0.639 0.598
0.153 0.151 0.770
0.345 0.745 0.262
0.861 0.292 0.289
0.326 0.307 0.498
0.652 0.639 0.998
0.161 0.638 0.785
0.650 0.142 0.781
0.803 0.811 0.280
0.001 0.972 0.183
0.022 0.453 0.660
0.140 0.156 0.395
0.151 0.649 0.390
0.312 0.299 0.897
0.312 0.829 0.891
0.462 0.009 0.656
0.472 0.457 0.655
0.489 0.928 0.158
0.501 0.472 0.155
0.638 0.624 0.388
0.675 0.138 0.395
0.831 0.820 0.903
0.837 0.301 0.888
0.944 0.482 0.159
0.995 0.978 0.675
```

Summary:
Formation energy without anion corrections: -1.991 eV/atom
VASP energy: -200.8 eV/cell
Crystal system: triclinic